(1)
A PBEsol-optimized structure of Zr3TaTi. Source: Alexandria via LeMat-Bulk, functional meta-GGA SCAN.

abc: 5.018 5.018 5.018
angles: 90.00 90.00 90.00
Each line ends with the local moment (μB).
Positions (direct):
Ti  0.500  0.500  0.500  1.51
Ta  0.000  0.000  0.000  -0.04
Zr  0.500  0.000  0.000  0.04
Zr  0.000  0.500  0.000  0.04
Zr  0.000  0.000  0.500  0.04

Properties
Crystal system: cubic
DFT formation energy (eV per atom): 0.98

(2)
A PBEsol-optimized structure of ZrTa2Ti. Source: Alexandria via LeMat-Bulk, functional meta-GGA SCAN.

abc: 4.683 4.683 4.683
angles: 60.00 60.00 60.00
Positions (direct):
Zr  0.500  0.500  0.500
Ta  0.750  0.750  0.750
Ta  0.250  0.250  0.250
Ti  0.000  0.000  0.000

Properties
Crystal system: cubic
DFT formation energy (eV per atom): 0.20

(3)
A PBEsol-optimized structure of Ta3Tl. Source: Alexandria via LeMat-Bulk, functional meta-GGA SCAN.

abc: 3.421 3.421 6.336
angles: 90.00 90.00 90.00
Positions (direct):
Tl  0.500  0.500  0.500
Ta  0.500  0.500  0.000
Ta  0.000  0.000  0.771
Ta  0.000  0.000  0.229

Properties
Crystal system: tetragonal
DFT formation energy (eV per atom): 0.18

We obtain calculated volume values of 126.4 72.6 74.2 Å³ per cell for the records listed above, in that order.
We obtain M_tot values of 2.17 0.00 0.00 μB per cell for the records listed above, in that order.